The following is a DFT calculation (PBE) of Al2GaPt8 after structural relaxation.

POSCAR file:
```
Al2GaPt8
1.0
-2.062 3.606 5.750
2.062 -3.606 5.750
2.062 3.606 -5.750
Al Ga Pt
2 1 8
Direct
0.193 0.193 0.000
0.807 0.807 0.000
0.500 0.500 0.000
0.061 0.339 0.722
0.185 0.000 0.185
0.362 0.862 0.500
0.383 0.661 0.722
0.617 0.339 0.278
0.638 0.138 0.500
0.815 0.000 0.815
0.939 0.661 0.278
```

Results
- Calculated formation energy: -0.60 eV/atom
- Energy: -65.4 eV/f.u.
- Total moment: 0.00 Bohr magnetons per cell
- Space group: Immm
- E above lowest polymorph: 0 meV/atom